Entry from Alexandria via LeMat-Bulk: an optimized crystal structure of Er3Ru2 (GGA-PBE).

It has space group P6_3/m (No. 176), with a = 7.5572 Å, b = 7.5572 Å, c = 4.6762 Å, α = 90.00°, β = 90.00° and γ = 120.00°. The inequivalent atoms are Er at (0.0798, 0.6948, 0.2500), Ru at (0.0000, 0.0000, 0.0000) and Ru at (0.3333, 0.6667, 0.7500).

The formation energy from the elements is -312 meV per atom. The value obtained for the density is 10.1 g cm⁻³. The magnetic moment comes out at 0.00 μB per cell. Its energy above the lowest structure with this stoichiometry is 0.0 meV per atom.